The following is a PBE calculation of a geometry-optimized Y2Er7Tm3 structure, from Alexandria via LeMat-Bulk.

a = 3.559 Å, b = 5.747 Å, c = 18.710 Å
α = 98.83°, β = 90.00°, γ = 90.00°
Fractional coordinates of all 12 atoms:
Er1 0.000 0.000 0.000
Er2 0.000 0.271 0.541
Er3 0.000 0.729 0.459
Er4 0.000 0.428 0.856
Er5 0.500 0.910 0.820
Er6 0.000 0.572 0.144
Er7 0.500 0.090 0.180
Y1 0.000 0.824 0.649
Y2 0.000 0.176 0.351
Tm1 0.500 0.350 0.701
Tm2 0.500 0.650 0.299
Tm3 0.500 0.500 0.000

- density (g cm⁻³) = 8.1
- ΔE to the lowest computed polymorph (meV per atom) = 75
- formation energy from the elements (eV/atom) = 0.16
- VASP energy (eV per cell) = -56.40